# 1
Here is a geometry-optimized BaZrTc structure from Alexandria. Energies are from GGA-PBE.

relative energy among the computed polymorphs = 0 meV per atom
space group = I4mm, No. 107
ΔH_f (0 K) = 0.360 eV per atom

Unit cell a=7.1800 b=7.1800 c=3.4888 alpha=75.94 beta=75.94 gamma=28.12
Atoms (fractional coordinates):
Tc 0.3052 0.3052 0.6948
Ba 0.9784 0.9784 0.0216
Zr 0.7164 0.7164 0.2836

# 2
Here is a geometry-optimized B2CCl structure from Alexandria. Energies are from GGA-PBE.

relative energy among the computed polymorphs = 0 meV per atom
formation energy (no corrections) = 0.4780 eV per atom
space group = I-42d, No. 122

Unit cell a=4.4636 b=4.4636 c=5.0870 alpha=63.98 beta=63.98 gamma=90.00
Atoms (fractional coordinates):
B 0.8750 0.7367 0.7500
Cl 0.7500 0.2500 0.5000
C 0.5000 0.5000 0.0000
B 0.2633 0.6250 0.2500
Cl 0.0000 0.0000 0.0000
C 0.2500 0.7500 0.5000
B 0.3750 0.5133 0.7500
B 0.4867 0.1250 0.2500

# 3
Here is a geometry-optimized MgB2P structure from Alexandria. Energies are from GGA-PBE.

relative energy among the computed polymorphs = 101 meV per atom
space group = P1, No. 1
ΔH_f (0 K) = 0.003 eV per atom

Unit cell a=4.2639 b=4.3059 c=6.8538 alpha=105.44 beta=99.82 gamma=94.82
Atoms (fractional coordinates):
B 0.9896 0.8984 0.7551
P 0.6900 0.6307 0.8667
B 0.2357 0.6168 0.7797
Mg 0.0027 0.2439 0.1054
B 0.9762 0.2932 0.7629
Mg 0.4764 0.8856 0.5166
P 0.5652 0.2941 0.3195
B 0.8463 0.5070 0.5943

# 4
Here is a geometry-optimized LiTlSbRh structure from Alexandria. Energies are from GGA-PBE.

formation energy (no corrections) = -0.2034 eV per atom
space group = F-43m, No. 216

Unit cell a=4.7425 b=4.7425 c=4.7425 alpha=60.00 beta=60.00 gamma=60.00
Atoms (fractional coordinates):
Rh 0.5000 0.5000 0.5000
Sb 0.7500 0.7500 0.7500
Tl 0.2500 0.2500 0.2500
Li 0.0000 0.0000 0.0000